(1)
Here is a geometry-optimized Y5In2Ir2Ru structure from Alexandria. Energies are from PBE-GGA.

Cell: 11.7011 11.7011 3.5398 Å, 90.00 90.00 90.00°
Fractional coordinates of all 20 atoms:
Y  0.0000  0.5000  0.0000
Y  0.0648  0.1944  0.0000
Y  0.1944  0.9352  0.0000
Y  0.3056  0.4352  0.0000
Y  0.4352  0.6944  0.0000
Y  0.5000  0.0000  0.0000
Y  0.5648  0.3056  0.0000
Y  0.6944  0.5648  0.0000
Y  0.8056  0.0648  0.0000
Y  0.9352  0.8056  0.0000
In  0.1801  0.6801  0.5000
In  0.3199  0.1801  0.5000
In  0.6801  0.8199  0.5000
In  0.8199  0.3199  0.5000
Ir  0.1372  0.3628  0.5000
Ir  0.3628  0.8628  0.5000
Ir  0.6372  0.1372  0.5000
Ir  0.8628  0.6372  0.5000
Ru  0.0000  0.0000  0.5000
Ru  0.5000  0.5000  0.5000

Summary:
Volume   24.233 Å³/atom
Energy relative to the elements   -0.519 eV/atom

***

(2)
Here is a geometry-optimized La2SmZn6 structure from Alexandria. Energies are from PBE-GGA.

Cell: 7.9961 7.9961 3.6412 Å, 90.00 90.00 120.00°
Fractional coordinates of all 9 atoms:
La  0.3333  0.6667  0.0000
La  0.6667  0.3333  0.0000
Sm  0.0000  0.0000  0.0000
Zn  0.0000  0.3292  0.5000
Zn  0.0000  0.6708  0.5000
Zn  0.3292  0.0000  0.5000
Zn  0.3292  0.3292  0.5000
Zn  0.6708  0.0000  0.5000
Zn  0.6708  0.6708  0.5000

Summary:
Volume   22.402 Å³/atom
Energy relative to the elements   -0.352 eV/atom

***

(3)
Here is a geometry-optimized Tb7PmTm2 structure from Alexandria. Energies are from PBE-GGA.

Cell: 6.1501 7.1091 7.9405 Å, 77.12 75.03 73.28°
Fractional coordinates of all 10 atoms:
Tb  0.0000  0.0000  0.0000
Tb  0.1998  0.8005  0.5992
Tb  0.4001  0.5998  0.2014
Tb  0.4010  0.0994  0.2015
Tb  0.5990  0.9006  0.7985
Tb  0.5999  0.4002  0.7986
Tb  0.8002  0.1995  0.4008
Pm  0.0000  0.5000  0.0000
Tm  0.1995  0.3002  0.5991
Tm  0.8005  0.6998  0.4009

Summary:
Energy above the lowest structure with this stoichiometry   0.000 eV per atom
Volume   31.703 Å³/atom
Energy relative to the elements   0.015 eV/atom

***

(4)
Here is a geometry-optimized ErTmAlNi structure from Alexandria. Energies are from PBE-GGA.

Cell: 4.9089 4.9089 4.9089 Å, 60.00 60.00 60.00°
Fractional coordinates of all 4 atoms:
Er  0.0000  0.0000  0.0000
Tm  0.5000  0.5000  0.5000
Al  0.2500  0.2500  0.2500
Ni  0.7500  0.7500  0.7500

Summary:
Volume   20.911 Å³/atom
Energy relative to the elements   -0.349 eV/atom